! PdSBr3 | the Alexandria database | PBE | optimized geometry; values from VASP
! excess energy over the best structure of this formula in the dataset = 2.84 eV per formula unit
! volume = 137 Å³/f.u.
! DFT total energy = -12.225 eV for the cell shown
&SYSTEM
  ibrav = 0, nat = 5, ntyp = 3
/
ATOMIC_SPECIES
Pd 106.42 Pd.upf
S 32.06 S.upf
Br 79.90 Br.upf
ATOMIC_POSITIONS angstrom
Pd 0.000 0.000 0.000
S 2.576 2.576 2.576
Br 0.000 0.000 2.576
Br 0.000 2.576 0.000
Br 2.576 0.000 0.000
CELL_PARAMETERS angstrom
5.153 0.000 0.000
0.000 5.153 0.000
0.000 0.000 5.153

! PuNpTc | the Alexandria database | PBE | optimized geometry; values from VASP
! excess energy over the best structure of this formula in the dataset = 0.81 eV per formula unit
! volume = 55 Å³/f.u.
! ΔE_f = 1.0 eV/f.u.
! DFT total energy = -146.508 eV for the cell shown
&SYSTEM
  ibrav = 0, nat = 12, ntyp = 3
/
ATOMIC_SPECIES
Pu 244.00 Pu.upf
Np 237.00 Np.upf
Tc 98.00 Tc.upf
ATOMIC_POSITIONS angstrom
Pu 0.592 1.075 1.363
Pu 0.592 1.075 4.041
Pu 4.141 7.525 17.578
Pu 4.141 7.525 20.256
Np 1.775 3.225 5.769
Np 1.775 3.225 10.446
Np 2.958 5.375 11.174
Np 2.958 5.375 15.850
Tc 1.775 1.723 8.107
Tc 2.958 3.873 13.512
Tc 1.775 4.726 8.107
Tc 2.958 6.876 13.512
CELL_PARAMETERS angstrom
0.000 4.300 10.810
2.366 0.000 10.810
2.366 4.300 0.000

! CaOsNCl2 | the Alexandria database | PBE | optimized geometry; values from VASP
! volume = 97 Å³/f.u.
! DFT total energy = -27.231 eV for the cell shown
&SYSTEM
  ibrav = 0, nat = 5, ntyp = 4
/
ATOMIC_SPECIES
Ca 40.08 Ca.upf
Os 190.23 Os.upf
N 14.01 N.upf
Cl 35.45 Cl.upf
ATOMIC_POSITIONS angstrom
Ca 0.000 0.000 0.000
Os 2.534 2.534 1.879
N 2.534 2.534 0.000
Cl 0.000 2.534 1.879
Cl 2.534 0.000 1.879
CELL_PARAMETERS angstrom
5.067 0.000 0.000
0.000 5.067 0.000
0.000 0.000 3.759

! ZrCdSe2 | the Alexandria database | PBE | optimized geometry; values from VASP
! volume = 83 Å³/f.u.
! DFT total energy = -19.642 eV for the cell shown
&SYSTEM
  ibrav = 0, nat = 4, ntyp = 3
/
ATOMIC_SPECIES
Zr 91.22 Zr.upf
Cd 112.41 Cd.upf
Se 78.96 Se.upf
ATOMIC_POSITIONS angstrom
Zr 0.000 0.000 0.000
Cd 0.000 0.000 3.420
Se 1.742 1.742 1.521
Se 1.742 1.742 5.320
CELL_PARAMETERS angstrom
3.485 0.000 0.000
0.000 3.485 0.000
0.000 0.000 6.840

! YW | the Alexandria database | PBE | optimized geometry; values from VASP
! excess energy over the best structure of this formula in the dataset = 1.57 eV per formula unit
! volume = 54 Å³/f.u.
! ΔE_f = 2.1 eV/f.u.
! DFT total energy = -104.133 eV for the cell shown
&SYSTEM
  ibrav = 0, nat = 12, ntyp = 2
/
ATOMIC_SPECIES
Y 88.91 Y.upf
W 183.84 W.upf
ATOMIC_POSITIONS angstrom
Y -0.728 2.912 0.829
Y -2.435 8.390 0.829
Y 2.158 2.086 2.487
Y 3.163 7.129 0.829
Y 7.756 0.826 2.487
Y 6.048 6.304 2.487
W -2.110 5.369 0.829
W 1.726 4.704 0.829
W 0.384 8.358 0.829
W 4.937 0.858 2.487
W 3.595 4.512 2.487
W 7.430 3.846 2.487
CELL_PARAMETERS angstrom
10.641 0.000 0.000
-5.321 9.216 0.000
0.000 0.000 3.316

! RbNiSb3 | the Alexandria database | PBE | optimized geometry; values from VASP
! excess energy over the best structure of this formula in the dataset = 1.35 eV per formula unit
! volume = 143 Å³/f.u.
! DFT total energy = -18.668 eV for the cell shown
&SYSTEM
  ibrav = 0, nat = 5, ntyp = 3
/
ATOMIC_SPECIES
Rb 85.47 Rb.upf
Ni 58.69 Ni.upf
Sb 121.76 Sb.upf
ATOMIC_POSITIONS angstrom
Rb 0.000 0.000 0.000
Ni 2.615 2.615 2.615
Sb 0.000 2.615 2.615
Sb 2.615 0.000 2.615
Sb 2.615 2.615 0.000
CELL_PARAMETERS angstrom
5.230 0.000 0.000
0.000 5.230 0.000
0.000 0.000 5.230

! TbDy2AlO | the Alexandria database | PBE | optimized geometry; values from VASP
! volume = 106 Å³/f.u.
! DFT total energy = -29.395 eV for the cell shown
&SYSTEM
  ibrav = 0, nat = 5, ntyp = 4
/
ATOMIC_SPECIES
Tb 158.93 Tb.upf
Dy 162.50 Dy.upf
Al 26.98 Al.upf
O 16.00 O.upf
ATOMIC_POSITIONS angstrom
Tb 0.000 0.000 0.000
Dy 0.000 2.361 2.378
Dy 2.361 0.000 2.378
Al 2.361 2.361 0.000
O 0.000 0.000 2.378
CELL_PARAMETERS angstrom
4.723 0.000 0.000
0.000 4.723 0.000
0.000 0.000 4.756

! K2NbSn | the Alexandria database | PBE | optimized geometry; values from VASP
! volume = 141 Å³/f.u.
! ΔE_f = 3.5 eV/f.u.
! DFT total energy = -50.879 eV for the cell shown
&SYSTEM
  ibrav = 0, nat = 16, ntyp = 3
/
ATOMIC_SPECIES
K 39.10 K.upf
Nb 92.91 Nb.upf
Sn 118.71 Sn.upf
ATOMIC_POSITIONS angstrom
K 2.321 2.450 0.736
K 2.450 7.222 2.209
K 2.450 7.480 5.153
K 2.579 2.450 3.681
K 7.222 7.351 3.681
K 7.351 2.321 5.153
K 7.351 2.579 2.209
K 7.480 7.351 0.736
Nb 0.000 0.000 2.945
Nb 0.000 4.901 4.417
Nb 4.901 0.000 1.472
Nb 4.901 4.901 0.000
Sn 0.000 0.000 0.000
Sn 0.000 4.901 1.472
Sn 4.901 0.000 4.417
Sn 4.901 4.901 2.945
CELL_PARAMETERS angstrom
9.802 0.000 0.000
0.000 9.802 0.000
0.000 0.000 5.890

! MnTlInCl4 | the Alexandria database | PBE | optimized geometry; values from VASP
! volume = 224 Å³/f.u.
! DFT total energy = -57.259 eV for the cell shown
&SYSTEM
  ibrav = 0, nat = 14, ntyp = 4
/
ATOMIC_SPECIES
Mn 54.94 Mn.upf
Tl 204.38 Tl.upf
In 114.82 In.upf
Cl 35.45 Cl.upf
ATOMIC_POSITIONS angstrom
Mn 0.823 1.830 2.486
Mn 3.483 5.491 5.984
Tl -0.099 5.491 4.603
Tl 4.405 1.830 3.867
In 1.747 5.491 0.561
In 2.559 1.830 7.909
Cl -0.575 0.008 1.931
Cl -0.575 3.653 1.931
Cl 1.328 1.830 4.774
Cl 2.754 1.830 1.169
Cl 1.552 5.491 7.301
Cl 2.978 5.491 3.696
Cl 4.881 3.668 6.539
Cl 4.881 7.313 6.539
CELL_PARAMETERS angstrom
7.223 0.000 0.000
0.000 7.321 0.000
-2.917 0.000 8.470

! LaY2Re | the Alexandria database | PBE | optimized geometry; values from VASP
! excess energy over the best structure of this formula in the dataset = 0.84 eV per formula unit
! volume = 102 Å³/f.u.
! ΔE_f = 1.5 eV/f.u.
! DFT total energy = -115.129 eV for the cell shown
&SYSTEM
  ibrav = 0, nat = 16, ntyp = 3
/
ATOMIC_SPECIES
La 138.91 La.upf
Y 88.91 Y.upf
Re 186.21 Re.upf
ATOMIC_POSITIONS angstrom
La 0.000 0.000 0.000
La 0.000 3.703 3.703
La 3.703 0.000 3.703
La 3.703 3.703 0.000
Y 0.000 0.000 3.703
Y 0.000 3.703 0.000
Y 1.852 1.852 5.555
Y 1.852 5.555 1.852
Y 3.703 0.000 0.000
Y 3.703 3.703 3.703
Y 5.555 1.852 1.852
Y 5.555 5.555 5.555
Re 1.852 1.852 1.852
Re 1.852 5.555 5.555
Re 5.555 1.852 5.555
Re 5.555 5.555 1.852
CELL_PARAMETERS angstrom
7.406 0.000 0.000
0.000 7.406 0.000
0.000 0.000 7.406

! BaSbI2N | the Alexandria database | PBE | optimized geometry; values from VASP
! excess energy over the best structure of this formula in the dataset = 1.48 eV per formula unit
! volume = 146 Å³/f.u.
! DFT total energy = -17.057 eV for the cell shown
&SYSTEM
  ibrav = 0, nat = 5, ntyp = 4
/
ATOMIC_SPECIES
Ba 137.33 Ba.upf
Sb 121.76 Sb.upf
I 126.90 I.upf
N 14.01 N.upf
ATOMIC_POSITIONS angstrom
Ba 0.000 0.000 0.000
Sb 2.787 2.787 0.000
I 0.000 2.787 2.356
I 2.787 0.000 2.356
N 2.787 2.787 2.356
CELL_PARAMETERS angstrom
5.573 0.000 0.000
0.000 5.573 0.000
0.000 0.000 4.711

! TeWBr2 | the Alexandria database | PBE | optimized geometry; values from VASP
! excess energy over the best structure of this formula in the dataset = 5.70 eV per formula unit
! volume = 90 Å³/f.u.
! DFT total energy = -13.962 eV for the cell shown
&SYSTEM
  ibrav = 0, nat = 4, ntyp = 3
/
ATOMIC_SPECIES
Te 127.60 Te.upf
W 183.84 W.upf
Br 79.90 Br.upf
ATOMIC_POSITIONS angstrom
Te 0.000 0.000 0.000
W 2.659 2.659 0.000
Br 0.000 2.659 1.599
Br 2.659 0.000 1.599
CELL_PARAMETERS angstrom
5.318 0.000 0.000
0.000 5.318 0.000
0.000 0.000 3.197